The following is a PBE calculation of crystalline Pr2Er5TmSc at its relaxed geometry, from the Alexandria database.

Structure (CIF):
```
data_Pr2Er5TmSc
_chemical_formula_sum 'Pr8 Er20 Tm4 Sc4'
_symmetry_space_group_name_H-M 'C m c 21'
_symmetry_Int_Tables_number 36
_cell_length_a 5.520
_cell_length_b 19.983
_cell_length_c 10.332
_cell_angle_alpha 90.00
_cell_angle_beta 90.00
_cell_angle_gamma 90.00
loop_
_symmetry_equiv_pos_as_xyz
'x,y,z'
'-x,-y,z+1/2'
'-x,y,z'
'x,-y,z+1/2'
'x+1/2,y+1/2,z'
'-x+1/2,-y+1/2,z+1/2'
'-x+1/2,y+1/2,z'
'x+1/2,-y+1/2,z+1/2'
loop_
_atom_site_label
_atom_site_fract_x
_atom_site_fract_y
_atom_site_fract_z
Pr1 0.000 0.113 0.000
Pr2 0.000 0.116 0.420
Er1 0.000 0.016 0.703
Er2 0.000 0.275 0.005
Er3 0.000 0.299 0.387
Er4 0.000 0.375 0.705
Er5 0.000 0.483 0.427
Tm1 0.000 0.407 0.145
Sc1 0.000 0.196 0.700
```

Properties
**Crystal system**: orthorhombic
**Calculated formation energy**: 0.15 eV/atom
**D(E_F)**: 12.17 states/eV/f.u.